DFT (PBE) results for a geometry-optimized Be2InBr structure.

The structure in POSCAR format:
```
Be2InBr
1.0
4.6483 0.0000 0.0000
0.0000 4.1190 0.0000
-2.2687 0.0000 5.2895
Be In Br
2 1 1
direct
0.0000 0.0000 0.0000
0.0497 0.5000 0.0721
0.4840 0.0000 0.9669
0.2974 0.5000 0.4823
```

## Properties
The calculation puts the relative energy among the computed polymorphs at 0.099 eV/atom. The space group is No. 6. For the formation energy (no corrections), the calculation gives 0.352 eV/atom. The total magnetization comes out at 0.00 μB/f.u.